An optimized crystal structure of Ce2Zn4N5. Source: the Alexandria database, functional GGA-PBE.

abc: 3.4831 3.4831 43.2562
angles: 90.00 90.00 120.00
Space group R-3m (No. 166, hexagonal axes)
Asymmetric unit:
Ce (0.0000, 0.0000, 0.1317)
Zn (0.0000, 0.0000, 0.3100)
Zn (0.0000, 0.0000, 0.4085)
N (0.0000, 0.0000, 0.2323)
N (0.0000, 0.0000, 0.3639)
N (0.0000, 0.0000, 0.5000)

Summary:
**Final energy**: -5.7866 eV/atom
**Theoretical density**: 6.71 Mg/m³
**Magnetic moment**: 2.68 μB per cell